A:
The following is a DFT calculation (PBE-GGA) of a relaxed Tb6TlOs crystal.

It has space group P-1 (No. 2), with a = 6.917 Å, b = 6.965 Å, c = 7.517 Å, α = 62.91°, β = 63.25° and γ = 60.24°. The asymmetric unit holds Tb at (0.038, 0.416, 0.257), Tb at (0.214, 0.964, 0.744), Tb at (0.415, 0.789, 0.256), Tl at (0.500, 0.500, 0.000) and Os at (0.000, 0.000, 0.500).

The density of states at the Fermi level comes out at 10.8 states/eV/f.u. For the magnetization, the calculation gives 0.00 μB per cell. The crystal system is triclinic.



B:
The following is a DFT calculation (PBE-GGA) of a relaxed Tb6TlOs crystal.

It has space group I4/mmm (No. 139), with a = 5.067 Å, b = 5.067 Å, c = 17.503 Å, α = 90.00°, β = 90.00° and γ = 90.00°. The asymmetric unit holds Tb at (0.000, 0.000, 0.249), Tb at (0.000, 0.500, 0.102), Tl at (0.000, 0.000, 0.000) and Os at (0.000, 0.000, 0.500).

The density of states at the Fermi level comes out at 10.1 states/eV/f.u. For the magnetization, the calculation gives 0.00 μB per cell. The crystal system is tetragonal.



Which of them is the most stable? Correct choice: B.



A:
The following is a DFT calculation (PBE-GGA) of a relaxed TbTm2Os crystal.

It has space group R-3m (No. 166, hexagonal axes), with a = 3.3826 Å, b = 3.3826 Å, c = 32.5047 Å, α = 90.00°, β = 90.00° and γ = 120.00°. The asymmetric unit holds Tb at (0.0000, 0.0000, 0.0000), Tm at (0.0000, 0.0000, 0.1051) and Os at (0.0000, 0.0000, 0.5000).

The density of states at the Fermi level comes out at 6.5 states/eV/f.u. For the magnetization, the calculation gives 0.01 μB per cell. The crystal system is trigonal.



B:
The following is a DFT calculation (PBE-GGA) of a relaxed TbTm2Os crystal.

It has space group Pnma (No. 62), with a = 7.395 Å, b = 8.916 Å, c = 6.267 Å, α = 90.00°, β = 90.00° and γ = 90.00°. The asymmetric unit holds Tb at (0.038, 0.250, 0.126), Tm at (0.174, 0.063, 0.664) and Os at (0.118, 0.750, 0.456).

The density of states at the Fermi level comes out at 3.3 states/eV/f.u. For the magnetization, the calculation gives 0.00 μB per cell. The crystal system is orthorhombic.



C:
The following is a DFT calculation (PBE-GGA) of a relaxed TbTm2Os crystal.

It has space group Cmcm (No. 63), with a = 3.954 Å, b = 11.814 Å, c = 8.900 Å, α = 90.00°, β = 90.00° and γ = 90.00°. The asymmetric unit holds Tb at (0.000, 0.074, 0.250), Tm at (0.000, 0.354, 0.066) and Os at (0.000, 0.257, 0.750).

The density of states at the Fermi level comes out at 3.6 states/eV/f.u. For the magnetization, the calculation gives 0.00 μB per cell. The crystal system is orthorhombic.



Which of them is the most stable? Correct choice: B.



A:
The following is a DFT calculation (PBE-GGA) of a relaxed TbUOs crystal.

It has space group R-3m (No. 166, hexagonal axes), with a = 5.7868 Å, b = 5.7868 Å, c = 39.0035 Å, α = 90.00°, β = 90.00° and γ = 120.00°. The asymmetric unit holds Tb at (0.0000, 0.0000, 0.0498), Tb at (0.0000, 0.0000, 0.1791), Tb at (0.0000, 0.0000, 0.2567), U at (0.0000, 0.0000, 0.3931), U at (0.0000, 0.0000, 0.5000), U at (0.0000, 0.5000, 0.0000) and Os at (0.9997, 0.4998, 0.2195).

The density of states at the Fermi level comes out at 4.8 states/eV/f.u. For the magnetization, the calculation gives 14.76 μB per cell. The crystal system is trigonal.



B:
The following is a DFT calculation (PBE-GGA) of a relaxed TbUOs crystal.

It has space group P3m1 (No. 156), with a = 3.8918 Å, b = 3.8918 Å, c = 6.0494 Å, α = 90.00°, β = 90.00° and γ = 120.00°. The asymmetric unit holds Tb at (0.0000, 0.0000, 0.0000), U at (0.3333, 0.6667, 0.5207) and Os at (0.6667, 0.3333, 0.2942).

The density of states at the Fermi level comes out at 6.3 states/eV/f.u. For the magnetization, the calculation gives 2.22 μB per cell. The crystal system is trigonal.



C:
The following is a DFT calculation (PBE-GGA) of a relaxed TbUOs crystal.

It has space group I4mm (No. 107), with a = 3.508 Å, b = 3.508 Å, c = 10.807 Å, α = 90.00°, β = 90.00° and γ = 90.00°. The asymmetric unit holds Tb at (0.000, 0.000, 0.000), U at (0.000, 0.000, 0.701) and Os at (0.000, 0.000, 0.307).

The density of states at the Fermi level comes out at 4.3 states/eV/f.u. For the magnetization, the calculation gives 1.60 μB per cell. The crystal system is tetragonal.



Which of them is the most stable? Correct choice: A.



A:
The following is a DFT calculation (PBE-GGA) of a relaxed TbVOs crystal.

It has space group Imma (No. 74), with a = 5.336 Å, b = 5.581 Å, c = 7.306 Å, α = 90.00°, β = 90.00° and γ = 90.00°. The asymmetric unit holds Tb at (0.000, 0.250, 0.130), V at (0.250, 0.250, 0.750) and Os at (0.000, 0.000, 0.500).

The density of states at the Fermi level comes out at 3.4 states/eV/f.u. For the magnetization, the calculation gives 0.00 μB per cell. The crystal system is orthorhombic.



B:
The following is a DFT calculation (PBE-GGA) of a relaxed TbVOs crystal.

It has space group P4_12_12 (No. 92), with a = 6.774 Å, b = 6.774 Å, c = 5.917 Å, α = 90.00°, β = 90.00° and γ = 90.00°. The asymmetric unit holds Tb at (0.241, 0.241, 0.000), V at (0.195, 0.805, 0.750) and Os at (0.053, 0.053, 0.500).

The density of states at the Fermi level comes out at 3.2 states/eV/f.u. For the magnetization, the calculation gives 4.21 μB per cell. The crystal system is tetragonal.



Which of them is the most stable? Correct choice: A.



A:
The following is a DFT calculation (PBE-GGA) of a relaxed TbVOs2 crystal.

It has space group Fm-3m (No. 225), with a = 6.432 Å, b = 6.432 Å, c = 6.432 Å, α = 90.00°, β = 90.00° and γ = 90.00°. The asymmetric unit holds Tb at (0.000, 0.000, 0.000), V at (0.000, 0.000, 0.500) and Os at (0.250, 0.250, 0.250).

The density of states at the Fermi level comes out at 1.4 states/eV/f.u. For the magnetization, the calculation gives 0.00 μB per cell. The crystal system is cubic.



B:
The following is a DFT calculation (PBE-GGA) of a relaxed TbVOs2 crystal.

It has space group P4/mmm (No. 123), with a = 3.096 Å, b = 3.096 Å, c = 7.010 Å, α = 90.00°, β = 90.00° and γ = 90.00°. The asymmetric unit holds Tb at (0.000, 0.000, 0.000), V at (0.000, 0.000, 0.500) and Os at (0.500, 0.500, 0.296).

The density of states at the Fermi level comes out at 2.6 states/eV/f.u. For the magnetization, the calculation gives 0.00 μB per cell. The crystal system is tetragonal.



Which of them is the most stable? Correct choice: B.



A:
The following is a DFT calculation (PBE-GGA) of a relaxed Tb3YOs crystal.

It has space group C2/m (No. 12), with a = 11.814 Å, b = 8.584 Å, c = 8.089 Å, α = 90.00°, β = 133.10° and γ = 90.00°. The asymmetric unit holds Tb at (0.055, 0.000, 0.352), Tb at (0.249, 0.195, 0.202), Y at (0.055, 0.500, 0.257) and Os at (0.249, 0.000, 0.874).

The density of states at the Fermi level comes out at 5.2 states/eV/f.u. For the magnetization, the calculation gives 0.01 μB per cell. The crystal system is monoclinic.



B:
The following is a DFT calculation (PBE-GGA) of a relaxed Tb3YOs crystal.

It has space group Pmn2_1 (No. 31), with a = 7.712 Å, b = 6.458 Å, c = 6.268 Å, α = 90.00°, β = 90.00° and γ = 90.00°. The asymmetric unit holds Tb at (0.000, 0.158, 0.000), Tb at (0.250, 0.320, 0.503), Y at (0.000, 0.841, 0.506) and Os at (0.000, 0.499, 0.252).

The density of states at the Fermi level comes out at 5.8 states/eV/f.u. For the magnetization, the calculation gives 0.00 μB per cell. The crystal system is orthorhombic.



Which of them is the most stable? Correct choice: A.



A:
The following is a DFT calculation (PBE-GGA) of a relaxed Tb4ZnOs crystal.

It has space group F-43m (No. 216), with a = 13.507 Å, b = 13.507 Å, c = 13.507 Å, α = 90.00°, β = 90.00° and γ = 90.00°. The asymmetric unit holds Tb at (0.000, 0.000, 0.190), Tb at (0.056, 0.250, 0.250), Tb at (0.099, 0.099, 0.599), Zn at (0.173, 0.173, 0.827) and Os at (0.111, 0.111, 0.389).

The density of states at the Fermi level comes out at 7.2 states/eV/f.u. For the magnetization, the calculation gives 0.00 μB per cell. The crystal system is cubic.



B:
The following is a DFT calculation (PBE-GGA) of a relaxed Tb4ZnOs crystal.

It has space group C2 (No. 5), with a = 6.884 Å, b = 6.884 Å, c = 6.985 Å, α = 90.00°, β = 90.06° and γ = 90.00°. The asymmetric unit holds Tb at (0.250, 0.000, 0.236), Tb at (0.250, 0.000, 0.763), Zn at (0.000, 0.250, 0.500) and Os at (0.000, 0.750, 0.000).

The density of states at the Fermi level comes out at 7.9 states/eV/f.u. For the magnetization, the calculation gives 0.00 μB per cell. The crystal system is monoclinic.



Which of them is the most stable? Correct choice: A.



A:
The following is a DFT calculation (PBE-GGA) of a relaxed Tc3Os crystal.

It has space group P4/mmm (No. 123), with a = 2.736 Å, b = 2.736 Å, c = 7.773 Å, α = 90.00°, β = 90.00° and γ = 90.00°. The asymmetric unit holds Tc at (0.000, 0.000, 0.000), Tc at (0.500, 0.500, 0.252) and Os at (0.000, 0.000, 0.500).

The density of states at the Fermi level comes out at 4.6 states/eV/f.u. For the magnetization, the calculation gives 0.00 μB per cell. The crystal system is tetragonal.



B:
The following is a DFT calculation (PBE-GGA) of a relaxed Tc3Os crystal.

It has space group P6_3/mmc (No. 194), with a = 5.5078 Å, b = 5.5078 Å, c = 8.8144 Å, α = 90.00°, β = 90.00° and γ = 120.00°. The asymmetric unit holds Tc at (0.0000, 0.5000, 0.0000), Tc at (0.1670, 0.3341, 0.2500), Os at (0.0000, 0.0000, 0.0000) and Os at (0.3333, 0.6667, 0.7500).

The density of states at the Fermi level comes out at 3.2 states/eV/f.u. For the magnetization, the calculation gives 0.00 μB per cell. The crystal system is hexagonal.



Which of them is the most stable? Correct choice: B.



A:
The following is a DFT calculation (PBE-GGA) of a relaxed Tc3Os crystal.

It has space group Fm-3m (No. 225), with a = 6.180 Å, b = 6.180 Å, c = 6.180 Å, α = 90.00°, β = 90.00° and γ = 90.00°. The asymmetric unit holds Tc at (0.000, 0.000, 0.000), Tc at (0.250, 0.250, 0.250) and Os at (0.000, 0.000, 0.500).

The density of states at the Fermi level comes out at 6.5 states/eV/f.u. For the magnetization, the calculation gives 0.00 μB per cell. The crystal system is cubic.



B:
The following is a DFT calculation (PBE-GGA) of a relaxed Tc3Os crystal.

It has space group R-3m (No. 166, hexagonal axes), with a = 2.7386 Å, b = 2.7386 Å, c = 26.8782 Å, α = 90.00°, β = 90.00° and γ = 120.00°. The asymmetric unit holds Tc at (0.0000, 0.0000, 0.0000), Tc at (0.0000, 0.0000, 0.2498) and Os at (0.0000, 0.0000, 0.5000).

The density of states at the Fermi level comes out at 4.3 states/eV/f.u. For the magnetization, the calculation gives 0.00 μB per cell. The crystal system is trigonal.



C:
The following is a DFT calculation (PBE-GGA) of a relaxed Tc3Os crystal.

It has space group Pm-3m (No. 221), with a = 3.874 Å, b = 3.874 Å, c = 3.874 Å, α = 90.00°, β = 90.00° and γ = 90.00°. The asymmetric unit holds Tc at (0.000, 0.000, 0.500) and Os at (0.500, 0.500, 0.500).

The density of states at the Fermi level comes out at 4.9 states/eV/f.u. For the magnetization, the calculation gives 0.00 μB per cell. The crystal system is cubic.



D:
The following is a DFT calculation (PBE-GGA) of a relaxed Tc3Os crystal.

It has space group Pmmn (No. 59, origin choice 2), with a = 4.374 Å, b = 5.521 Å, c = 4.789 Å, α = 90.00°, β = 90.00° and γ = 90.00°. The asymmetric unit holds Tc at (0.250, 0.001, 0.167), Tc at (0.250, 0.750, 0.665) and Os at (0.250, 0.250, 0.670).

The density of states at the Fermi level comes out at 3.5 states/eV/f.u. For the magnetization, the calculation gives 0.00 μB per cell. The crystal system is orthorhombic.



Which of them is the most stable? Correct choice: D.



A:
The following is a DFT calculation (PBE-GGA) of a relaxed Tc3Os crystal.

It has space group I4/mmm (No. 139), with a = 3.875 Å, b = 3.875 Å, c = 7.747 Å, α = 90.00°, β = 90.00° and γ = 90.00°. The asymmetric unit holds Tc at (0.000, 0.000, 0.000), Tc at (0.000, 0.500, 0.250) and Os at (0.000, 0.000, 0.500).

The density of states at the Fermi level comes out at 4.8 states/eV/f.u. For the magnetization, the calculation gives 0.00 μB per cell. The crystal system is tetragonal.



B:
The following is a DFT calculation (PBE-GGA) of a relaxed Tc3Os crystal.

It has space group Pm-3n (No. 223), with a = 4.904 Å, b = 4.904 Å, c = 4.904 Å, α = 90.00°, β = 90.00° and γ = 90.00°. The asymmetric unit holds Tc at (0.000, 0.250, 0.500) and Os at (0.000, 0.000, 0.000).

The density of states at the Fermi level comes out at 2.2 states/eV/f.u. For the magnetization, the calculation gives 0.00 μB per cell. The crystal system is cubic.



Which of them is the most stable? Correct choice: A.